Entry from Alexandria via LeMat-Bulk: a geometry-optimized Sr3NbCoO7 structure (PBE with a Hubbard U).

Unit cell a=5.6218 b=11.1210 c=11.1210 alpha=29.28 beta=90.00 gamma=90.00
Last column: nearest neighbours and their distance in Å.
Fractional positions:
Sr 0.0000 0.0000 0.0000  9 O 2.57-2.83
Sr 0.0000 0.1654 0.1654  8 O 2.60-2.87
Sr 0.0000 0.3752 0.3752  1 O 2.36
Sr 0.5000 0.5000 0.5000  9 O 2.57-2.83
Sr 0.5000 0.6654 0.6654  8 O 2.60-2.87
Sr 0.5000 0.8752 0.8752  1 O 2.36
Nb 0.0000 0.7824 0.7824  6 O 1.92-2.11
Nb 0.5000 0.2824 0.2824  6 O 1.92-2.11
Co 0.0000 0.5773 0.5773  3 O 1.88-1.99
Co 0.5000 0.0773 0.0773  3 O 1.88-1.99
O 0.0000 0.4851 0.4851  1 Co 1.99
O 0.0000 0.6929 0.6929  1 Nb 1.92
O 0.0000 0.8804 0.8804  1 Nb 2.11
O 0.2345 0.8220 0.3530  1 Co 1.88
O 0.2493 0.5372 0.0384  2 Nb 1.99
O 0.2507 0.0372 0.5384  2 Nb 1.99
O 0.2655 0.3220 0.8530  1 Co 1.88
O 0.5000 0.1929 0.1929  1 Nb 1.92
O 0.5000 0.3804 0.3804  1 Nb 2.11
O 0.5000 0.9851 0.9851  1 Co 1.99
O 0.7345 0.8530 0.3220  1 Co 1.88
O 0.7493 0.5384 0.0372  2 Nb 1.99
O 0.7507 0.0384 0.5372  2 Nb 1.99
O 0.7655 0.3530 0.8220  1 Co 1.88

Properties
total energy	-7.020	eV per atom
total moment	7.91	μB/cell
space-group type	Aea2 (41)
theoretical density	5.14	g/cm³
N(E_F)	0.055	states/eV/atom
excess energy over the best structure of this formula in the dataset	0.000	eV/atom